# 1
## Ce2BeFePt6 (PBE)

Data for a geometry-optimized Ce2BeFePt6 structure.

Cell and atoms, written as POSCAR:
```
Ce2BeFePt6
1.0
-2.549 -4.937 -1.191
3.791 -0.411 -6.404
3.077 -4.763 -0.401
Pt Fe Ce Be
6 1 2 1
direct
0.767 0.286 0.973
0.260 0.286 0.973
0.233 0.714 0.027
0.740 0.714 0.519
0.740 0.714 0.027
0.260 0.286 0.481
0.000 0.000 0.000
0.713 0.138 0.575
0.287 0.862 0.425
0.500 0.500 0.000
```

Values from the calculation:
Spin magnetization (μB per formula unit): 4.4
Formation enthalpy at 0 K (eV per atom): -0.68

***

# 2
## CeBe2Ga2 (PBE)

Data for a geometry-optimized CeBe2Ga2 structure.

Cell and atoms, written as POSCAR:
```
CeBe2Ga2
1.0
4.073 0.000 0.000
0.000 4.073 0.000
0.000 0.000 9.597
Be Ce Ga
4 2 4
direct
0.500 0.000 0.634
0.500 0.500 0.000
0.000 0.000 0.000
0.000 0.500 0.366
0.500 0.000 0.242
0.000 0.500 0.758
0.500 0.000 0.874
0.000 0.000 0.500
0.000 0.500 0.126
0.500 0.500 0.500
```

Values from the calculation:
Spin magnetization (μB per formula unit): 0.3
Formation enthalpy at 0 K (eV per atom): -0.35

***

# 3
## Ce2Be4GaIr3 (PBE)

Data for a geometry-optimized Ce2Be4GaIr3 structure.

Cell and atoms, written as POSCAR:
```
Ce2Be4GaIr3
1.0
-2.628 2.858 -0.117
-2.809 -2.549 0.837
1.411 1.703 9.921
Ir Be Ce Ga
3 4 2 1
direct
0.000 0.500 0.130
0.500 0.000 0.870
0.000 0.000 0.500
0.000 0.500 0.368
0.500 0.500 0.000
0.500 0.000 0.632
0.000 0.000 0.000
0.500 0.000 0.244
0.000 0.500 0.756
0.500 0.500 0.500
```

Values from the calculation:
Spin magnetization (μB per formula unit): 0.1
Formation enthalpy at 0 K (eV per atom): -0.53

***

# 4
## Ce2BeGaIr6 (PBE)

Data for a geometry-optimized Ce2BeGaIr6 structure.

Cell and atoms, written as POSCAR:
```
Ce2BeGaIr6
1.0
6.282 0.000 0.000
0.000 6.282 0.000
3.141 3.141 4.442
Ir Ce Be Ga
6 2 1 1
direct
0.765 0.235 0.000
0.235 0.235 0.000
0.765 0.765 0.471
0.235 0.235 0.529
0.235 0.765 0.000
0.765 0.765 0.000
0.250 0.750 0.500
0.750 0.250 0.500
0.000 0.000 0.000
0.500 0.500 0.000
```

Values from the calculation:
Spin magnetization (μB per formula unit): 0.3
Formation enthalpy at 0 K (eV per atom): -0.21

***

# 5
## Ce2Be3GaIr4 (PBE)

Data for a geometry-optimized Ce2Be3GaIr4 structure.

Cell and atoms, written as POSCAR:
```
Ce2Be3GaIr4
1.0
-0.912 2.319 3.219
-3.483 -2.050 0.491
4.533 -6.307 5.828
Ir Be Ga Ce
4 3 1 2
direct
0.000 0.000 0.000
0.000 0.500 0.354
0.500 0.500 0.000
0.500 0.000 0.646
0.000 0.500 0.112
0.500 0.000 0.888
0.000 0.000 0.500
0.500 0.500 0.500
0.500 0.000 0.232
0.000 0.500 0.768
```

Values from the calculation:
Spin magnetization (μB per formula unit): 0.0
Formation enthalpy at 0 K (eV per atom): -0.64

***

# 6
## CeBeGaIr (PBE)

Data for a geometry-optimized CeBeGaIr structure.

Cell and atoms, written as POSCAR:
```
CeBeGaIr
1.0
-1.943 -3.553 0.274
1.548 -3.303 -1.781
2.482 -3.382 3.805
Ir Ga Ce Be
1 1 1 1
direct
0.604 0.604 0.189
0.018 0.018 0.947
0.820 0.820 0.541
0.285 0.285 0.145
```

Values from the calculation:
Spin magnetization (μB per formula unit): 0.2
Formation enthalpy at 0 K (eV per atom): -0.54

***

# 7
## CeLuBeGa (PBE)

Data for a geometry-optimized CeLuBeGa structure.

Cell and atoms, written as POSCAR:
```
CeLuBeGa
1.0
-2.319 4.117 1.366
-3.629 1.817 -2.780
-4.652 -0.208 1.585
Lu Ga Be Ce
1 1 1 1
direct
0.750 0.750 0.750
0.500 0.500 0.500
0.000 0.000 0.000
0.250 0.250 0.250
```

Values from the calculation:
Spin magnetization (μB per formula unit): 0.2
Formation enthalpy at 0 K (eV per atom): -0.19

***

# 8
## Ce2BeGaNi6 (PBE)

Data for a geometry-optimized Ce2BeGaNi6 structure.

Cell and atoms, written as POSCAR:
```
Ce2BeGaNi6
1.0
6.045 0.000 0.000
0.000 6.045 0.000
3.023 3.022 4.274
Ni Ga Ce Be
6 1 2 1
direct
0.268 0.268 0.000
0.732 0.732 0.000
0.732 0.268 0.000
0.268 0.268 0.465
0.268 0.732 0.000
0.732 0.732 0.535
0.000 0.000 0.000
0.750 0.250 0.500
0.250 0.750 0.500
0.500 0.500 0.000
```

Values from the calculation:
Spin magnetization (μB per formula unit): 0.6
Formation enthalpy at 0 K (eV per atom): -0.12

***

# 9
## Ce2BeGa2Pt4 (PBE)

Data for a geometry-optimized Ce2BeGa2Pt4 structure.

Cell and atoms, written as POSCAR:
```
Ce2BeGa2Pt4
1.0
6.084 0.116 0.167
-2.819 5.393 -0.167
-2.819 -2.051 4.991
Pt Be Ga Ce
4 1 2 2
direct
0.000 0.255 0.745
0.490 0.745 0.745
0.000 0.745 0.255
0.510 0.255 0.255
0.000 0.000 0.000
0.000 0.687 0.687
0.000 0.313 0.313
0.500 0.250 0.750
0.500 0.750 0.250
```

Values from the calculation:
Spin magnetization (μB per formula unit): 1.1
Formation enthalpy at 0 K (eV per atom): -0.76

***

# 10
## Ce2BeGa3Pt4 (PBE)

Data for a geometry-optimized Ce2BeGa3Pt4 structure.

Cell and atoms, written as POSCAR:
```
Ce2BeGa3Pt4
1.0
-2.956 -2.710 -1.097
1.908 -0.606 -3.644
5.679 -7.931 4.291
Pt Be Ce Ga
4 1 2 3
direct
0.500 0.500 0.000
0.000 0.500 0.372
0.000 0.000 0.000
0.500 0.000 0.628
0.500 0.500 0.500
0.000 0.500 0.736
0.500 0.000 0.264
0.500 0.000 0.862
0.000 0.500 0.138
0.000 0.000 0.500
```

Values from the calculation:
Spin magnetization (μB per formula unit): 1.2
Formation enthalpy at 0 K (eV per atom): -0.87

***

# 11
## CeBeGaPt2 (PBE)

Data for a geometry-optimized CeBeGaPt2 structure.

Cell and atoms, written as POSCAR:
```
CeBeGaPt2
1.0
4.016 0.000 0.000
0.000 4.016 0.000
-2.008 -2.008 5.610
Ga Ce Pt Be
1 1 2 1
direct
0.250 0.750 0.500
0.000 0.000 0.000
0.379 0.379 0.758
0.621 0.621 0.242
0.750 0.250 0.500
```

Values from the calculation:
Spin magnetization (μB per formula unit): 0.6
Formation enthalpy at 0 K (eV per atom): -0.80

***

# 12
## Ce2BeGaPt6 (PBE)

Data for a geometry-optimized Ce2BeGaPt6 structure.

Cell and atoms, written as POSCAR:
```
Ce2BeGaPt6
1.0
-3.545 -4.385 0.928
3.861 -4.134 -4.788
3.539 -6.499 0.405
Ga Pt Be Ce
1 6 1 2
direct
0.500 0.500 0.000
0.727 0.760 0.033
0.760 0.727 0.479
0.240 0.760 0.033
0.760 0.240 0.967
0.240 0.273 0.521
0.273 0.240 0.967
0.000 0.000 0.000
0.216 0.784 0.569
0.784 0.216 0.431
```

Values from the calculation:
Spin magnetization (μB per formula unit): 1.4
Formation enthalpy at 0 K (eV per atom): -0.82

***

- spin magnetization of number 4 (Ce2BeGaIr6)?
  0.3 μB per formula unit

***

- Number 6 is which compound?
  CeBeGaIr

***

- Look up the formation enthalpy at 0 K of the second one.
  -0.35 eV per atom